No. 1
# DyHAu PBE optimized geometry
data_DyHAu
_chemical_formula_sum 'Dy4 H4 Au4'
_space_group_name_H-M_alt 'P 1'
_space_group_IT_number 1
_cell_length_a 3.8785
_cell_length_b 6.4035
_cell_length_c 9.3104
_cell_angle_alpha 90.00
_cell_angle_beta 90.00
_cell_angle_gamma 90.00
loop_
_space_group_symop_operation_xyz
'x,y,z'
loop_
_atom_site_label
_atom_site_fract_x
_atom_site_fract_y
_atom_site_fract_z
Au1 0.7500 0.3740 0.9188
Au2 0.2500 0.6260 0.0812
Au3 0.2500 0.1260 0.4188
Au4 0.7500 0.8740 0.5812
Dy1 0.7500 0.8404 0.8904
Dy2 0.2500 0.6596 0.3904
Dy3 0.7500 0.3404 0.6096
Dy4 0.2500 0.1596 0.1096
H1 0.2500 0.9914 0.9070
H2 0.2500 0.4914 0.5930
H3 0.7500 0.0086 0.0930
H4 0.7500 0.5086 0.4070
# - space-group type = Pnma
# - total magnetization (μB/f.u.) = 0.0
# - energy above the most stable polymorph in this dataset (eV/atom) = 0.297



No. 2
# DyHAu PBE optimized geometry
data_DyHAu
_chemical_formula_sum 'Dy1 H1 Au1'
_space_group_name_H-M_alt 'P 1'
_space_group_IT_number 1
_cell_length_a 3.4797
_cell_length_b 3.4797
_cell_length_c 5.1751
_cell_angle_alpha 109.65
_cell_angle_beta 109.65
_cell_angle_gamma 90.00
loop_
_space_group_symop_operation_xyz
'x,y,z'
loop_
_atom_site_label
_atom_site_fract_x
_atom_site_fract_y
_atom_site_fract_z
H1 0.0798 0.0798 0.1597
Dy1 0.6164 0.6164 0.2327
Au1 0.3038 0.3038 0.6076
# - space-group type = I4mm
# - total magnetization (μB/f.u.) = 0.0
# - energy above the most stable polymorph in this dataset (eV/atom) = 0.441



No. 3
# Dy12H5Au3 PBE optimized geometry
data_Dy12H5Au3
_chemical_formula_sum 'Dy48 H20 Au12'
_space_group_name_H-M_alt 'P 1'
_space_group_IT_number 1
_cell_length_a 13.2454
_cell_length_b 13.2454
_cell_length_c 13.2454
_cell_angle_alpha 109.47
_cell_angle_beta 109.47
_cell_angle_gamma 109.47
loop_
_space_group_symop_operation_xyz
'x,y,z'
loop_
_atom_site_label
_atom_site_fract_x
_atom_site_fract_y
_atom_site_fract_z
Dy1 0.1925 0.0955 0.9822
Dy2 0.9822 0.3867 0.2897
Dy3 0.2103 0.5178 0.6133
Dy4 0.7103 0.1133 0.0178
Dy5 0.2897 0.4031 0.8075
Dy6 0.6925 0.2103 0.5969
Dy7 0.9045 0.0969 0.8867
Dy8 0.2103 0.6925 0.0969
Dy9 0.4031 0.1133 0.5955
Dy10 0.4045 0.3867 0.5969
Dy11 0.8075 0.9045 0.0178
Dy12 0.4031 0.2897 0.3075
Dy13 0.6133 0.0178 0.2103
Dy14 0.0969 0.9045 0.3867
Dy15 0.3867 0.9822 0.7897
Dy16 0.5955 0.9822 0.6925
Dy17 0.0969 0.1925 0.2103
Dy18 0.9822 0.5955 0.1925
Dy19 0.5969 0.8867 0.4045
Dy20 0.8867 0.5969 0.9045
Dy21 0.3075 0.5178 0.4045
Dy22 0.3867 0.4045 0.0969
Dy23 0.6133 0.5955 0.9031
Dy24 0.1133 0.7103 0.5178
Dy25 0.5178 0.3075 0.9045
Dy26 0.5955 0.6133 0.4031
Dy27 0.9031 0.8075 0.7897
Dy28 0.0178 0.6133 0.7103
Dy29 0.7103 0.5969 0.1925
Dy30 0.8075 0.9031 0.2897
Dy31 0.7897 0.3075 0.9031
Dy32 0.0955 0.9031 0.1133
Dy33 0.1133 0.4031 0.0955
Dy34 0.0955 0.1925 0.4822
Dy35 0.5178 0.2103 0.1133
Dy36 0.1925 0.0969 0.7103
Dy37 0.5969 0.7103 0.6925
Dy38 0.0178 0.4045 0.8075
Dy39 0.6925 0.4822 0.5955
Dy40 0.4822 0.7897 0.8867
Dy41 0.4045 0.0178 0.3075
Dy42 0.9031 0.0955 0.6133
Dy43 0.8867 0.2897 0.4822
Dy44 0.2897 0.8867 0.9822
Dy45 0.7897 0.4822 0.3867
Dy46 0.9045 0.8075 0.5178
Dy47 0.3075 0.7897 0.4031
Dy48 0.4822 0.6925 0.0955
H1 0.5000 0.5000 0.5000
H2 0.5000 0.0000 0.5000
H3 0.0000 0.0000 0.0000
H4 0.6250 0.8750 0.2500
H5 0.6250 0.7500 0.8750
H6 0.1250 0.7500 0.3750
H7 0.2500 0.3750 0.6250
H8 0.0000 0.0000 0.5000
H9 0.3750 0.1250 0.7500
H10 0.8750 0.2500 0.6250
H11 0.3750 0.2500 0.1250
H12 0.2500 0.8750 0.1250
H13 0.5000 0.0000 0.0000
H14 0.0000 0.5000 0.0000
H15 0.0000 0.5000 0.5000
H16 0.7500 0.6250 0.3750
H17 0.5000 0.5000 0.0000
H18 0.8750 0.6250 0.7500
H19 0.1250 0.3750 0.2500
H20 0.7500 0.1250 0.8750
Au1 0.6250 0.2500 0.3750
Au2 0.7500 0.8750 0.6250
Au3 0.3750 0.6250 0.2500
Au4 0.8750 0.1250 0.2500
Au5 0.3750 0.7500 0.6250
Au6 0.8750 0.7500 0.1250
Au7 0.1250 0.8750 0.7500
Au8 0.2500 0.1250 0.3750
Au9 0.2500 0.6250 0.8750
Au10 0.1250 0.2500 0.8750
Au11 0.7500 0.3750 0.1250
Au12 0.6250 0.3750 0.7500
# - space-group type = Ia-3d
# - total magnetization (μB/f.u.) = 0.0
# - E_tot (eV/f.u.) = -89.9



No. 4
# DyH8Ir2Au PBE optimized geometry
data_DyH8Ir2Au
_chemical_formula_sum 'Dy1 H8 Ir2 Au1'
_space_group_name_H-M_alt 'P 1'
_space_group_IT_number 1
_cell_length_a 4.1888
_cell_length_b 4.8790
_cell_length_c 6.5369
_cell_angle_alpha 61.99
_cell_angle_beta 71.31
_cell_angle_gamma 64.58
loop_
_space_group_symop_operation_xyz
'x,y,z'
loop_
_atom_site_label
_atom_site_fract_x
_atom_site_fract_y
_atom_site_fract_z
Dy1 0.5000 0.5000 0.5000
H1 0.2852 0.5513 0.8782
H2 0.0849 0.4578 0.3723
H3 0.9447 0.9662 0.6600
H4 0.9151 0.5422 0.6277
H5 0.4291 0.9662 0.6600
H6 0.5709 0.0338 0.3400
H7 0.7148 0.4487 0.1218
H8 0.0553 0.0338 0.3400
Au1 0.0000 0.0000 0.0000
Ir1 0.2685 0.2920 0.1709
Ir2 0.7315 0.7080 0.8291
# - space-group type = C2/m
# - total magnetization (μB/f.u.) = 0.0
# - E_tot (eV/f.u.) = -53.5



No. 5
# Dy2HPd6Au PBE optimized geometry
data_Dy2HPd6Au
_chemical_formula_sum 'Dy2 H1 Pd6 Au1'
_space_group_name_H-M_alt 'P 1'
_space_group_IT_number 1
_cell_length_a 5.5466
_cell_length_b 7.2013
_cell_length_c 5.5422
_cell_angle_alpha 65.27
_cell_angle_beta 62.36
_cell_angle_gamma 89.64
loop_
_space_group_symop_operation_xyz
'x,y,z'
loop_
_atom_site_label
_atom_site_fract_x
_atom_site_fract_y
_atom_site_fract_z
Pd1 0.6796 0.6351 0.5325
Pd2 0.1671 0.6350 0.0449
Pd3 0.3003 0.2627 0.0368
Pd4 0.6997 0.7373 0.9632
Pd5 0.8329 0.3650 0.9551
Pd6 0.3204 0.3649 0.4675
Au1 0.0000 0.0000 0.0000
Dy1 0.7587 0.1898 0.5684
Dy2 0.2413 0.8102 0.4316
H1 0.5000 0.5000 0.0000
# - space-group type = C2/m
# - total magnetization (μB/f.u.) = 0.0
# - E_tot (eV/f.u.) = -53.1



No. 6
# DyHfAu2 PBE optimized geometry
data_DyHfAu2
_chemical_formula_sum 'Dy1 Hf1 Au2'
_space_group_name_H-M_alt 'P 1'
_space_group_IT_number 1
_cell_length_a 4.9479
_cell_length_b 4.9479
_cell_length_c 4.9479
_cell_angle_alpha 60.00
_cell_angle_beta 60.00
_cell_angle_gamma 60.00
loop_
_space_group_symop_operation_xyz
'x,y,z'
loop_
_atom_site_label
_atom_site_fract_x
_atom_site_fract_y
_atom_site_fract_z
Au1 0.2500 0.2500 0.2500
Au2 0.7500 0.7500 0.7500
Dy1 0.0000 0.0000 0.0000
Hf1 0.5000 0.5000 0.5000
# - space-group type = Fm-3m
# - total magnetization (μB/f.u.) = 0.0
# - formation energy (meV/atom) = -562
# - energy above the most stable polymorph in this dataset (eV/atom) = 0.051



No. 7
# DyHfAu6 PBE optimized geometry
data_DyHfAu6
_chemical_formula_sum 'Dy1 Hf1 Au6'
_space_group_name_H-M_alt 'P 1'
_space_group_IT_number 1
_cell_length_a 4.4240
_cell_length_b 5.0606
_cell_length_c 8.0167
_cell_angle_alpha 80.57
_cell_angle_beta 73.98
_cell_angle_gamma 64.08
loop_
_space_group_symop_operation_xyz
'x,y,z'
loop_
_atom_site_label
_atom_site_fract_x
_atom_site_fract_y
_atom_site_fract_z
Dy1 0.0000 0.5000 0.5000
Hf1 0.0000 0.0000 0.0000
Au1 0.7481 0.6187 0.8851
Au2 0.2482 0.8657 0.6380
Au3 0.5085 0.2308 0.7522
Au4 0.2519 0.3813 0.1149
Au5 0.7518 0.1343 0.3620
Au6 0.4915 0.7692 0.2478
# - space-group type = C2/m
# - total magnetization (μB/f.u.) = 0.0
# - formation energy (meV/atom) = -542



No. 8
# DyHfAu4 PBE optimized geometry
data_DyHfAu4
_chemical_formula_sum 'Dy1 Hf1 Au4'
_space_group_name_H-M_alt 'P 1'
_space_group_IT_number 1
_cell_length_a 3.6554
_cell_length_b 3.6554
_cell_length_c 8.9325
_cell_angle_alpha 90.00
_cell_angle_beta 90.00
_cell_angle_gamma 90.00
loop_
_space_group_symop_operation_xyz
'x,y,z'
loop_
_atom_site_label
_atom_site_fract_x
_atom_site_fract_y
_atom_site_fract_z
Au1 0.5000 0.5000 0.8407
Au2 0.0000 0.0000 0.3254
Au3 0.0000 0.0000 0.6746
Au4 0.5000 0.5000 0.1593
Dy1 0.5000 0.5000 0.5000
Hf1 0.0000 0.0000 0.0000
# - space-group type = P4/mmm
# - total magnetization (μB/f.u.) = 0.0
# - formation energy (meV/atom) = -708



No. 9
# DyHfAu2 PBE optimized geometry
data_DyHfAu2
_chemical_formula_sum 'Dy1 Hf1 Au2'
_space_group_name_H-M_alt 'P 1'
_space_group_IT_number 1
_cell_length_a 3.7055
_cell_length_b 3.7055
_cell_length_c 8.1791
_cell_angle_alpha 76.91
_cell_angle_beta 76.91
_cell_angle_gamma 60.00
loop_
_space_group_symop_operation_xyz
'x,y,z'
loop_
_atom_site_label
_atom_site_fract_x
_atom_site_fract_y
_atom_site_fract_z
Hf1 0.0000 0.0000 0.0000
Au1 0.7434 0.7434 0.7699
Au2 0.2566 0.2566 0.2301
Dy1 0.5000 0.5000 0.5000
# - space-group type = R-3m
# - total magnetization (μB/f.u.) = 0.0
# - formation energy (meV/atom) = -461
# - energy above the most stable polymorph in this dataset (eV/atom) = 0.152



No. 10
# Dy2HfAu6 PBE optimized geometry
data_Dy2HfAu6
_chemical_formula_sum 'Dy4 Hf2 Au12'
_space_group_name_H-M_alt 'P 1'
_space_group_IT_number 1
_cell_length_a 5.1681
_cell_length_b 8.7159
_cell_length_c 8.7159
_cell_angle_alpha 77.36
_cell_angle_beta 81.36
_cell_angle_gamma 81.36
loop_
_space_group_symop_operation_xyz
'x,y,z'
loop_
_atom_site_label
_atom_site_fract_x
_atom_site_fract_y
_atom_site_fract_z
Au1 0.5207 0.2991 0.5823
Au2 0.6421 0.0875 0.3441
Au3 0.1421 0.3441 0.0875
Au4 0.0207 0.5823 0.2991
Au5 0.3086 0.7772 0.0098
Au6 0.6914 0.2228 0.9902
Au7 0.3579 0.9125 0.6559
Au8 0.8579 0.6559 0.9125
Au9 0.1914 0.9902 0.2228
Au10 0.9793 0.4177 0.7009
Au11 0.8086 0.0098 0.7772
Au12 0.4793 0.7009 0.4177
Dy1 0.0805 0.2119 0.4570
Dy2 0.4195 0.5430 0.7881
Dy3 0.5805 0.4570 0.2119
Dy4 0.9195 0.7881 0.5430
Hf1 0.7500 0.8789 0.1211
Hf2 0.2500 0.1211 0.8789
# - space-group type = C2/c
# - total magnetization (μB/f.u.) = 0.0
# - formation energy (meV/atom) = -645